No. 1
! PBE-GGA CdAgH, optimized geometry; values from VASP
! - SG = No. 2
! - offset from the most stable computed form (meV per atom) = 40
&SYSTEM
  ibrav = 0, nat = 6, ntyp = 3
/
ATOMIC_SPECIES
H 1.01 H.upf
Ag 107.87 Ag.upf
Cd 112.41 Cd.upf
ATOMIC_POSITIONS angstrom
H -3.236 2.087 0.329
H -1.770 2.271 2.836
Ag -2.981 4.255 3.380
Ag -2.025 0.103 -0.215
Cd -3.297 -0.525 2.582
Cd -1.710 4.882 0.583
CELL_PARAMETERS angstrom
-1.793 0.452 -2.187
-3.469 -2.835 2.261
0.255 6.741 3.091

---

No. 2
! PBE-GGA CdAg2HgH, optimized geometry; values from VASP
! - electronic total energy (eV per atom) = -1.84
! - SG = No. 123
&SYSTEM
  ibrav = 0, nat = 5, ntyp = 4
/
ATOMIC_SPECIES
H 1.01 H.upf
Hg 200.59 Hg.upf
Ag 107.87 Ag.upf
Cd 112.41 Cd.upf
ATOMIC_POSITIONS angstrom
H 0.000 0.000 0.000
Hg 2.103 2.103 2.355
Ag 0.000 2.103 0.000
Ag 2.103 0.000 0.000
Cd 0.000 0.000 2.355
CELL_PARAMETERS angstrom
4.206 0.000 0.000
0.000 4.206 0.000
0.000 0.000 4.710

---

No. 3
! PBE-GGA Cd2AgHgH, optimized geometry; values from VASP
! - electronic total energy (eV per atom) = -1.45
! - SG = No. 123
&SYSTEM
  ibrav = 0, nat = 5, ntyp = 4
/
ATOMIC_SPECIES
H 1.01 H.upf
Hg 200.59 Hg.upf
Ag 107.87 Ag.upf
Cd 112.41 Cd.upf
ATOMIC_POSITIONS angstrom
H 0.000 0.000 0.000
Hg -2.722 2.201 2.029
Ag 0.246 0.119 1.755
Cd -2.503 -0.444 0.380
Cd -0.464 2.526 -0.106
CELL_PARAMETERS angstrom
-0.928 5.053 -0.212
-5.007 -0.887 0.760
0.491 0.238 3.510

---

No. 4
! PBE-GGA Cd2AgHI, optimized geometry; values from VASP
! - electronic total energy (eV per atom) = -1.68
! - SG = No. 123
&SYSTEM
  ibrav = 0, nat = 5, ntyp = 4
/
ATOMIC_SPECIES
I 126.90 I.upf
H 1.01 H.upf
Ag 107.87 Ag.upf
Cd 112.41 Cd.upf
ATOMIC_POSITIONS angstrom
I 2.543 0.396 1.905
H 0.000 0.000 0.000
Ag 0.720 0.608 4.293
Cd -0.996 1.596 0.997
Cd -0.827 -1.385 1.391
CELL_PARAMETERS angstrom
-1.653 -2.769 2.781
5.085 0.792 3.811
-1.992 3.192 1.995

---

No. 5
! PBE-GGA Cd2AgHIr, optimized geometry; values from VASP
! - SG = No. 123
! - offset from the most stable computed form (meV per atom) = 0
&SYSTEM
  ibrav = 0, nat = 5, ntyp = 4
/
ATOMIC_SPECIES
H 1.01 H.upf
Ir 192.22 Ir.upf
Ag 107.87 Ag.upf
Cd 112.41 Cd.upf
ATOMIC_POSITIONS angstrom
H 0.000 0.000 0.000
Ir 0.000 0.000 1.740
Ag 2.350 2.350 1.740
Cd 0.000 2.350 0.000
Cd 2.350 0.000 0.000
CELL_PARAMETERS angstrom
4.700 0.000 0.000
0.000 4.700 0.000
0.000 0.000 3.480

---

No. 6
! PBE-GGA Cd2AgHIr, optimized geometry; values from VASP
! - SG = No. 123
! - offset from the most stable computed form (meV per atom) = 910
&SYSTEM
  ibrav = 0, nat = 5, ntyp = 4
/
ATOMIC_SPECIES
H 1.01 H.upf
Ir 192.22 Ir.upf
Ag 107.87 Ag.upf
Cd 112.41 Cd.upf
ATOMIC_POSITIONS angstrom
H 2.618 2.591 2.618
Ir 0.000 0.000 0.000
Ag 0.000 2.591 0.000
Cd 0.000 0.000 2.618
Cd 2.618 0.000 0.000
CELL_PARAMETERS angstrom
5.237 0.000 0.000
0.000 5.182 0.000
0.000 0.000 5.237

---

No. 7
! PBE-GGA K2CdAgH6, optimized geometry; values from VASP
! - electronic total energy (eV per atom) = -2.61
! - SG = No. 12
&SYSTEM
  ibrav = 0, nat = 10, ntyp = 4
/
ATOMIC_SPECIES
K 39.10 K.upf
Cd 112.41 Cd.upf
Ag 107.87 Ag.upf
H 1.01 H.upf
ATOMIC_POSITIONS angstrom
K 5.602 2.805 2.129
K 2.805 5.602 2.129
Cd 0.000 0.000 0.000
Ag 2.802 2.802 0.003
H 2.799 2.799 2.333
H 4.096 4.096 0.010
H 1.513 4.091 0.003
H 4.091 1.513 0.003
H 4.311 4.311 4.247
H 5.609 5.609 1.924
CELL_PARAMETERS angstrom
5.599 0.005 0.003
0.004 5.599 0.003
2.804 2.804 4.251

---

No. 8
! PBE-GGA K2CdAgH, optimized geometry; values from VASP
! - SG = No. 123
! - offset from the most stable computed form (meV per atom) = 0
&SYSTEM
  ibrav = 0, nat = 5, ntyp = 4
/
ATOMIC_SPECIES
H 1.01 H.upf
K 39.10 K.upf
Ag 107.87 Ag.upf
Cd 112.41 Cd.upf
ATOMIC_POSITIONS angstrom
H 0.000 0.000 0.000
K -0.903 -1.771 2.291
K -2.699 -0.354 -1.337
Ag -0.666 1.548 0.934
Cd -4.268 -0.577 1.887
CELL_PARAMETERS angstrom
-5.398 -0.708 -2.675
-1.806 -3.542 4.581
-1.332 3.095 1.869

---

No. 9
! PBE-GGA K2CdAgH, optimized geometry; values from VASP
! - SG = No. 123
! - offset from the most stable computed form (meV per atom) = 20
&SYSTEM
  ibrav = 0, nat = 5, ntyp = 4
/
ATOMIC_SPECIES
H 1.01 H.upf
K 39.10 K.upf
Ag 107.87 Ag.upf
Cd 112.41 Cd.upf
ATOMIC_POSITIONS angstrom
H 0.000 0.000 0.000
K 1.209 -2.252 0.774
K -2.370 -1.223 0.141
Ag -1.371 -2.805 3.195
Cd -0.211 0.671 2.280
CELL_PARAMETERS angstrom
-4.739 -2.447 0.282
2.418 -4.504 1.548
-0.421 1.341 4.560

---

No. 10
! PBE-GGA La2CdAgH, optimized geometry; values from VASP
! - SG = No. 123
! - offset from the most stable computed form (meV per atom) = 0
&SYSTEM
  ibrav = 0, nat = 5, ntyp = 4
/
ATOMIC_SPECIES
H 1.01 H.upf
Cd 112.41 Cd.upf
Ag 107.87 Ag.upf
La 138.91 La.upf
ATOMIC_POSITIONS angstrom
H 0.000 0.000 0.000
Cd 2.536 2.536 2.242
Ag 0.000 0.000 2.242
La 0.000 2.536 0.000
La 2.536 0.000 0.000
CELL_PARAMETERS angstrom
5.072 0.000 0.000
0.000 5.072 0.000
0.000 0.000 4.483

---

No. 11
! PBE-GGA LaCdAg2H, optimized geometry; values from VASP
! - electronic total energy (eV per atom) = -3.06
! - SG = No. 123
&SYSTEM
  ibrav = 0, nat = 5, ntyp = 4
/
ATOMIC_SPECIES
H 1.01 H.upf
Cd 112.41 Cd.upf
Ag 107.87 Ag.upf
La 138.91 La.upf
ATOMIC_POSITIONS angstrom
H 0.000 0.000 0.000
Cd 2.409 2.409 2.228
Ag 0.000 2.409 0.000
Ag 2.409 0.000 0.000
La 0.000 0.000 2.228
CELL_PARAMETERS angstrom
4.818 0.000 0.000
0.000 4.818 0.000
0.000 0.000 4.456

---

No. 12
! PBE-GGA La2CdAgH, optimized geometry; values from VASP
! - SG = No. 123
! - offset from the most stable computed form (meV per atom) = 36
&SYSTEM
  ibrav = 0, nat = 5, ntyp = 4
/
ATOMIC_SPECIES
H 1.01 H.upf
Cd 112.41 Cd.upf
Ag 107.87 Ag.upf
La 138.91 La.upf
ATOMIC_POSITIONS angstrom
H 0.000 0.000 0.000
Cd 0.000 0.000 2.290
Ag 2.507 2.507 2.290
La 0.000 2.507 0.000
La 2.507 0.000 0.000
CELL_PARAMETERS angstrom
5.013 0.000 0.000
0.000 5.013 0.000
0.000 0.000 4.579